1.
# HfAl2H6

A geometry-optimized HfAl2H6 structure (PBE, Alexandria).

Calculated values
**DFT total energy**: -140.879 eV for the cell shown

Unit cell a=6.875 b=6.875 c=6.875 alpha=90.00 beta=90.00 gamma=90.00
Space group Fm-3m (No. 225)
Inequivalent atoms, fractional coordinates:
1 Hf 0.000 0.000 0.000 x4
2 Al 0.250 0.250 0.250 x8
3 H 0.000 0.000 0.278 x24

2.
# HfAlH3

A geometry-optimized HfAlH3 structure (PBE, Alexandria).

Calculated values
**DFT total energy**: -23.479 eV for the cell shown

Unit cell a=3.747 b=3.747 c=3.747 alpha=90.00 beta=90.00 gamma=90.00
Space group Pm-3m (No. 221)
Inequivalent atoms, fractional coordinates:
1 Hf 0.000 0.000 0.000 x1
2 Al 0.500 0.500 0.500 x1
3 H 0.000 0.000 0.500 x3

3.
# Hf2AlH

A geometry-optimized Hf2AlH structure (PBE, Alexandria).

Calculated values
**ΔE to the lowest computed polymorph**: 0.00 kJ per mole of atoms

Unit cell a=3.278 b=5.029 c=7.797 alpha=90.00 beta=102.00 gamma=90.00
Space group P2_1 (No. 4)
Inequivalent atoms, fractional coordinates:
1 Hf 0.066 0.000 0.128 x2
2 Hf 0.263 0.485 0.525 x2
3 Al 0.397 0.010 0.796 x2
4 H 0.188 0.148 0.374 x2

| no. | calculated volume (Å³/cell) |
| --- | --- |
| 1 | 324.99 |
| 2 | 52.59 |
| 3 | 125.74 |